{"formula": "BTeI2O", "functional": "GGA-PBE", "state": "optimized geometry", "formation_energy_uncorrected_kj_per_mol_fu": 35, "vol_a3_per_atom": 35.937, "total_magnetization_mub_per_fu": 0.73, "n_ef_per_ev_atom": 0.73, "energy_ev_per_cell": -17.5, "lattice": [[8.016, 0.000, 0.000], [0.000, 8.016, 0.000], [0.000, 0.000, 2.796]], "species": ["I", "I", "B", "Te", "O"], "fractional_positions": [[0.000, 0.500, 0.000], [0.500, 0.000, 0.000], [0.000, 0.000, 0.000], [0.500, 0.500, 0.500], [0.000, 0.000, 0.500]]}